No. 1
A plane-wave DFT calculation with PBE was carried out for a geometry-optimized Sc12Tl3Cd structure.

Lattice parameters (Å, degrees): 4.524 4.524 18.106 90.00 90.00 90.00
Fractional positions:
Sc1 0.000 0.000 0.000
Sc2 0.000 0.000 0.249
Sc3 0.000 0.000 0.500
Sc4 0.000 0.000 0.751
Sc5 0.000 0.500 0.124
Sc6 0.000 0.500 0.375
Sc7 0.000 0.500 0.625
Sc8 0.000 0.500 0.876
Sc9 0.500 0.000 0.124
Sc10 0.500 0.000 0.375
Sc11 0.500 0.000 0.625
Sc12 0.500 0.000 0.876
Tl1 0.500 0.500 0.249
Tl2 0.500 0.500 0.500
Tl3 0.500 0.500 0.751
Cd1 0.500 0.500 0.000

Calculated values
Calculated formation energy = -0.185 eV per atom



No. 2
A plane-wave DFT calculation with PBE was carried out for a geometry-optimized Ta3Nb5H12 structure.

Lattice parameters (Å, degrees): 9.764 9.764 9.764 109.47 109.47 109.47
Fractional positions:
Ta1 0.125 0.250 0.375
Ta2 0.125 0.375 0.750
Ta3 0.250 0.375 0.125
Ta4 0.250 0.875 0.625
Ta5 0.375 0.125 0.250
Ta6 0.375 0.750 0.125
Ta7 0.625 0.250 0.875
Ta8 0.625 0.875 0.750
Ta9 0.750 0.125 0.375
Ta10 0.750 0.625 0.875
Ta11 0.875 0.625 0.250
Ta12 0.875 0.750 0.625
Nb1 0.000 0.000 0.000
Nb2 0.000 0.000 0.500
Nb3 0.000 0.500 0.000
Nb4 0.000 0.500 0.500
Nb5 0.125 0.750 0.875
Nb6 0.125 0.875 0.250
Nb7 0.250 0.125 0.875
Nb8 0.250 0.625 0.375
Nb9 0.375 0.250 0.625
Nb10 0.375 0.625 0.750
Nb11 0.500 0.000 0.000
Nb12 0.500 0.000 0.500
Nb13 0.500 0.500 0.000
Nb14 0.500 0.500 0.500
Nb15 0.625 0.375 0.250
Nb16 0.625 0.750 0.375
Nb17 0.750 0.375 0.625
Nb18 0.750 0.875 0.125
Nb19 0.875 0.125 0.750
Nb20 0.875 0.250 0.125
H1 0.069 0.228 0.148
H2 0.069 0.342 0.921
H3 0.079 0.648 0.421
H4 0.079 0.728 0.658
H5 0.079 0.852 0.421
H6 0.079 0.931 0.658
H7 0.148 0.069 0.228
H8 0.148 0.579 0.921
H9 0.158 0.228 0.579
H10 0.158 0.431 0.579
H11 0.228 0.148 0.069
H12 0.228 0.579 0.158
H13 0.272 0.342 0.921
H14 0.272 0.431 0.352
H15 0.342 0.921 0.069
H16 0.342 0.921 0.272
H17 0.352 0.272 0.431
H18 0.352 0.579 0.921
H19 0.421 0.079 0.648
H20 0.421 0.079 0.852
H21 0.421 0.842 0.569
H22 0.421 0.842 0.772
H23 0.431 0.352 0.272
H24 0.431 0.579 0.158
H25 0.569 0.421 0.842
H26 0.569 0.648 0.728
H27 0.579 0.158 0.228
H28 0.579 0.158 0.431
H29 0.579 0.921 0.148
H30 0.579 0.921 0.352
H31 0.648 0.421 0.079
H32 0.648 0.728 0.569
H33 0.658 0.079 0.728
H34 0.658 0.079 0.931
H35 0.728 0.569 0.648
H36 0.728 0.658 0.079
H37 0.772 0.421 0.842
H38 0.772 0.852 0.931
H39 0.842 0.569 0.421
H40 0.842 0.772 0.421
H41 0.852 0.421 0.079
H42 0.852 0.931 0.772
H43 0.921 0.069 0.342
H44 0.921 0.148 0.579
H45 0.921 0.272 0.342
H46 0.921 0.352 0.579
H47 0.931 0.658 0.079
H48 0.931 0.772 0.852

Calculated values
Energy = -515.518 eV/cell



No. 3
A plane-wave DFT calculation with PBE was carried out for a geometry-optimized NaGa2N structure.

Lattice parameters (Å, degrees): 5.546 5.546 5.546 101.42 101.42 127.15
Fractional positions:
Na1 0.000 0.000 0.000
Na2 0.750 0.250 0.500
Ga1 0.217 0.625 0.092
Ga2 0.375 0.467 0.592
Ga3 0.533 0.125 0.908
Ga4 0.875 0.783 0.408
N1 0.250 0.750 0.500
N2 0.500 0.500 0.000

Calculated values
Energy relative to the elements, uncorrected = 10 kJ/mol of atoms



No. 4
A plane-wave DFT calculation with PBE was carried out for a geometry-optimized Tb2Sm6ErMg structure.

Lattice parameters (Å, degrees): 8.789 8.789 9.502 93.84 93.84 116.83
Fractional positions:
Tb1 0.197 0.298 0.451
Tb2 0.298 0.197 0.951
Tb3 0.702 0.803 0.049
Tb4 0.803 0.702 0.549
Sm1 0.001 0.792 0.888
Sm2 0.067 0.503 0.693
Sm3 0.208 0.999 0.612
Sm4 0.264 0.626 0.052
Sm5 0.374 0.736 0.448
Sm6 0.497 0.933 0.807
Sm7 0.503 0.067 0.193
Sm8 0.626 0.264 0.552
Sm9 0.736 0.374 0.948
Sm10 0.792 0.001 0.388
Sm11 0.933 0.497 0.307
Sm12 0.999 0.208 0.112
Er1 0.479 0.521 0.750
Er2 0.521 0.479 0.250
Mg1 0.090 0.910 0.250
Mg2 0.910 0.090 0.750

Calculated values
Calculated formation energy = 0.118 eV per atom